i.
Here is a geometry-optimized Al2HPd structure from the Alexandria database. Energies are from PBE.

- Theoretical density: 5.07 g/cm³

Cell: 4.2129 4.2129 4.2129 Å, 60.00 60.00 60.00°
Fractional coordinates of all 4 atoms:
Al1 0.7500 0.7500 0.7500
Al2 0.2500 0.2500 0.2500
H1 0.0000 0.0000 0.0000
Pd1 0.5000 0.5000 0.5000

ii.
Here is a geometry-optimized Al2HPd structure from the Alexandria database. Energies are from PBE.

- Theoretical density: 4.82 g/cm³

Cell: 2.9270 2.9270 7.6833 Å, 79.02 79.02 60.00°
Fractional coordinates of all 4 atoms:
H1 0.0000 0.0000 0.0000
Al1 0.9216 0.9216 0.2352
Al2 0.0784 0.0784 0.7648
Pd1 0.5000 0.5000 0.5000

iii.
Here is a geometry-optimized Al2HPd structure from the Alexandria database. Energies are from PBE.

- Theoretical density: 4.61 g/cm³

Cell: 4.7748 4.7748 6.1123 Å, 67.01 67.01 90.00°
Fractional coordinates of all 8 atoms:
Al1 0.3750 0.4866 0.7500
Al2 0.8750 0.7634 0.7500
Al3 0.2366 0.6250 0.2500
Al4 0.5134 0.1250 0.2500
H1 0.2500 0.7500 0.5000
H2 0.5000 0.5000 0.0000
Pd1 0.0000 0.0000 0.0000
Pd2 0.7500 0.2500 0.5000

Of them, ii has the highest stability.

i.
Here is a geometry-optimized AlH2Pd2 structure from the Alexandria database. Energies are from PBE.

- Theoretical density: 7.41 g/cm³

Cell: 5.5684 5.5684 3.4957 Å, 90.00 90.00 90.00°
Fractional coordinates of all 10 atoms:
Pd1 0.1821 0.3179 0.5000
Pd2 0.6821 0.1821 0.5000
Pd3 0.3179 0.8179 0.5000
Pd4 0.8179 0.6821 0.5000
H1 0.6588 0.1588 0.0000
H2 0.3412 0.8412 0.0000
H3 0.8412 0.6588 0.0000
H4 0.1588 0.3412 0.0000
Al1 0.5000 0.5000 0.0000
Al2 0.0000 0.0000 0.0000

ii.
Here is a geometry-optimized AlH2Pd2 structure from the Alexandria database. Energies are from PBE.

- Theoretical density: 7.86 g/cm³

Cell: 3.1849 3.1849 5.5155 Å, 73.22 73.22 90.00°
Fractional coordinates of all 5 atoms:
Pd1 0.3575 0.3575 0.2851
Pd2 0.6425 0.6425 0.7149
H1 0.7500 0.2500 0.5000
H2 0.2500 0.7500 0.5000
Al1 0.0000 0.0000 0.0000

Of them, ii has the highest stability.

i.
Here is a geometry-optimized AlHPd2 structure from the Alexandria database. Energies are from PBE.

- Theoretical density: 7.94 g/cm³

Cell: 4.1450 4.1450 4.1450 Å, 60.00 60.00 60.00°
Fractional coordinates of all 4 atoms:
Pd1 0.7500 0.7500 0.7500
Pd2 0.2500 0.2500 0.2500
H1 0.0000 0.0000 0.0000
Al1 0.5000 0.5000 0.5000

ii.
Here is a geometry-optimized AlHPd2 structure from the Alexandria database. Energies are from PBE.

- Theoretical density: 7.75 g/cm³

Cell: 2.8665 2.8665 7.4363 Å, 78.89 78.89 60.00°
Fractional coordinates of all 4 atoms:
Al1 0.0000 0.0000 0.0000
Pd1 0.1107 0.1107 0.6678
Pd2 0.8893 0.8893 0.3322
H1 0.5000 0.5000 0.5000

iii.
Here is a geometry-optimized AlHPd2 structure from the Alexandria database. Energies are from PBE.

- Theoretical density: 8.32 g/cm³

Cell: 2.9157 5.1483 6.9061 Å, 92.42 111.75 87.03°
Fractional coordinates of all 8 atoms:
Pd1 0.8006 0.0655 0.2665
Pd2 0.3006 0.5655 0.2666
Pd3 0.8728 0.2415 0.8753
Pd4 0.3730 0.7414 0.8753
Al1 0.0878 0.4040 0.5708
Al2 0.5878 0.9040 0.5708
H1 0.1583 0.9641 0.0707
H2 0.6588 0.4639 0.0709

iv.
Here is a geometry-optimized AlHPd2 structure from the Alexandria database. Energies are from PBE.

- Theoretical density: 8.23 g/cm³

Cell: 5.9276 5.9276 5.0212 Å, 53.83 53.83 90.00°
Fractional coordinates of all 8 atoms:
H1 0.5000 0.5000 0.0000
H2 0.2500 0.7500 0.5000
Pd1 0.2158 0.6250 0.2500
Pd2 0.3750 0.4658 0.7500
Pd3 0.5342 0.1250 0.2500
Pd4 0.8750 0.7842 0.7500
Al1 0.7500 0.2500 0.5000
Al2 0.0000 0.0000 0.0000

Of them, iv has the highest stability.

i.
Here is a geometry-optimized Al2HPd6 structure from the Alexandria database. Energies are from PBE.

- Theoretical density: 9.20 g/cm³

Cell: 3.6868 4.8717 8.9184 Å, 57.59 78.07 67.77°
Fractional coordinates of all 9 atoms:
Al1 0.2436 0.7577 0.7551
Al2 0.7564 0.2423 0.2449
Pd1 0.0574 0.6253 0.2599
Pd2 0.3612 0.2195 0.0581
Pd3 0.3584 0.8431 0.4401
Pd4 0.9426 0.3747 0.7401
Pd5 0.6388 0.7805 0.9419
Pd6 0.6416 0.1569 0.5599
H1 0.0000 0.5000 0.5000

ii.
Here is a geometry-optimized Al2HPd6 structure from the Alexandria database. Energies are from PBE.

- Theoretical density: 9.43 g/cm³

Cell: 5.6019 5.6019 8.9867 Å, 90.00 90.00 120.00°
Fractional coordinates of all 18 atoms:
Pd1 0.8376 0.6751 0.8742
Pd2 0.1624 0.3249 0.3742
Pd3 0.8376 0.1624 0.8742
Pd4 0.4990 0.9980 0.6232
Pd5 0.5010 0.4990 0.1232
Pd6 0.5010 0.0020 0.1232
Pd7 0.1624 0.8376 0.3742
Pd8 0.4990 0.5010 0.6232
Pd9 0.9980 0.4990 0.1232
Pd10 0.6751 0.8376 0.3742
Pd11 0.3249 0.1624 0.8742
Pd12 0.0020 0.5010 0.6232
H1 0.3333 0.6667 0.2613
H2 0.6667 0.3333 0.7613
Al1 0.3333 0.6667 0.8731
Al2 0.6667 0.3333 0.3731
Al3 0.0000 0.0000 0.6233
Al4 0.0000 0.0000 0.1233

Of them, ii has the highest stability.

i.
Here is a geometry-optimized AlHPdRh2 structure from the Alexandria database. Energies are from PBE.

- Theoretical density: 9.43 g/cm³

Cell: 3.9447 3.9447 3.8519 Å, 90.00 90.00 90.00°
Fractional coordinates of all 5 atoms:
Rh1 0.0000 0.5000 0.0000
Rh2 0.5000 0.0000 0.0000
Al1 0.5000 0.5000 0.5000
H1 0.0000 0.0000 0.0000
Pd1 0.0000 0.0000 0.5000

ii.
Here is a geometry-optimized AlHPdRh2 structure from the Alexandria database. Energies are from PBE.

- Theoretical density: 9.45 g/cm³

Cell: 3.8580 3.8580 4.0150 Å, 90.00 90.00 90.00°
Fractional coordinates of all 5 atoms:
Rh1 0.0000 0.5000 0.0000
Rh2 0.5000 0.0000 0.0000
Al1 0.0000 0.0000 0.5000
H1 0.0000 0.0000 0.0000
Pd1 0.5000 0.5000 0.5000

Of them, i has the highest stability.

i.
Here is a geometry-optimized Sc2AlHPd structure from the Alexandria database. Energies are from PBE.

- Theoretical density: 4.85 g/cm³

Cell: 4.4405 4.4405 3.8922 Å, 90.00 90.00 90.00°
Fractional coordinates of all 5 atoms:
Sc1 0.5000 0.0000 0.0000
Sc2 0.0000 0.5000 0.0000
Pd1 0.0000 0.0000 0.5000
Al1 0.5000 0.5000 0.5000
H1 0.0000 0.0000 0.0000

ii.
Here is a geometry-optimized Sc2AlHPd structure from the Alexandria database. Energies are from PBE.

- Theoretical density: 4.91 g/cm³

Cell: 4.3765 4.3765 3.9633 Å, 90.00 90.00 90.00°
Fractional coordinates of all 5 atoms:
H1 0.0000 0.0000 0.0000
Sc1 0.5000 0.0000 0.0000
Sc2 0.0000 0.5000 0.0000
Pd1 0.5000 0.5000 0.5000
Al1 0.0000 0.0000 0.5000

Of them, i has the highest stability.